No. 1
Computed, not measured: a geometry-optimized Na2SmCu9 structure at the GGA-PBE level of DFT.

extended XYZ file:
```
12
Lattice="2.536 1.464 8.404 -2.536 1.464 8.404 0.000 -2.928 8.404" Properties=species:S:1:pos:R:3 pbc="T T T"
Na 0.000 0.000 3.683
Na 0.000 0.000 21.529
Sm 0.000 0.000 0.000
Cu -1.256 -0.725 10.458
Cu 0.000 0.000 8.369
Cu 0.000 -1.450 14.753
Cu -1.256 0.725 14.753
Cu 0.000 0.000 12.606
Cu 1.256 -0.725 10.458
Cu 0.000 1.450 10.458
Cu 0.000 0.000 16.842
Cu 1.256 0.725 14.753
```

Results
The calculation puts the energy relative to the elements at -0.04 eV per atom. As for the magnetic moment: 0.0 μB per formula unit. The calculation puts the calculated volume at 187 Å³ per cell. Its crystal system is trigonal.

***

No. 2
Computed, not measured: a geometry-optimized SrPmScO4 structure at the GGA-PBE level of DFT.

extended XYZ file:
```
14
Lattice="2.855 -6.224 0.000 2.855 6.224 0.000 0.000 0.000 5.751" Properties=species:S:1:pos:R:3 pbc="T T T"
Sr 2.855 4.920 4.313
Sr 2.855 -4.920 1.438
Pm 2.855 1.399 4.313
Pm 2.855 -1.399 1.438
Sc 2.855 3.135 1.438
Sc 2.855 -3.135 4.313
O 1.428 3.112 0.000
O 1.428 3.112 2.875
O 2.855 5.188 1.438
O 2.855 0.836 1.438
O 1.428 -3.112 0.000
O 1.428 -3.112 2.875
O 2.855 -0.836 4.313
O 2.855 -5.188 4.313
```

Results
As for the magnetic moment: 0.0 μB per formula unit. The calculation puts the calculated volume at 204 Å³ per cell. The raw formation energy is -306.25 kJ per mole of atoms. Its crystal system is orthorhombic.

***

No. 3
Computed, not measured: a geometry-optimized Sc7Cd3 structure at the GGA-PBE level of DFT.

extended XYZ file:
```
10
Lattice="7.965 -2.433 0.000 7.965 2.433 0.000 -2.041 0.000 5.969" Properties=species:S:1:pos:R:3 pbc="T T T"
Sc 0.000 0.000 0.000
Sc 1.892 0.000 3.958
Sc 5.767 0.000 0.682
Sc 5.227 0.000 3.871
Sc 8.663 0.000 2.097
Sc 8.123 0.000 5.287
Sc 11.998 0.000 2.011
Cd -1.020 0.000 2.984
Cd 2.713 0.000 1.107
Cd 11.177 0.000 4.862
```

Results
The calculation puts the energy relative to the elements at -0.15 eV per atom. As for the magnetic moment: 0.0 μB per formula unit. The calculation puts the calculated volume at 231 Å³ per cell. Its crystal system is monoclinic.

***

No. 4
Computed, not measured: a geometry-optimized LiPrInPb structure at the GGA-PBE level of DFT.

extended XYZ file:
```
4
Lattice="4.631 0.000 0.000 0.000 4.725 0.000 0.000 0.000 4.818" Properties=species:S:1:pos:R:3 pbc="T T T"
Li 0.000 0.000 0.000
Pr 0.000 2.362 2.409
In 2.315 2.362 0.000
Pb 2.315 0.000 2.409
```

Results
The calculation puts the energy relative to the elements at -0.43 eV per atom. As for the magnetic moment: 0.0 μB per formula unit. The calculation puts the calculated volume at 105 Å³ per cell. Its crystal system is orthorhombic.

***

No. 5
Computed, not measured: a geometry-optimized Sc2CrIrI structure at the GGA-PBE level of DFT.

extended XYZ file:
```
5
Lattice="4.776 0.000 0.000 0.000 4.776 0.000 0.000 0.000 4.682" Properties=species:S:1:pos:R:3 pbc="T T T"
Sc 0.000 2.388 0.000
Sc 2.388 0.000 0.000
Cr 0.000 0.000 0.000
Ir 2.388 2.388 2.341
I 0.000 0.000 2.341
```

Results
As for the magnetic moment: 0.4 μB per formula unit. The calculation puts the calculated volume at 107 Å³ per cell. The raw formation energy is 79.37 kJ per mole of atoms. Its crystal system is tetragonal.

***

No. 6
Computed, not measured: a geometry-optimized HoMnCoGe2 structure at the GGA-PBE level of DFT.

extended XYZ file:
```
5
Lattice="-1.979 1.979 5.219 1.979 -1.979 5.219 1.979 1.979 -5.219" Properties=species:S:1:pos:R:3 pbc="T T T"
Ho 0.000 0.000 0.000
Mn 1.979 0.000 2.610
Co 0.000 1.979 2.610
Ge 0.000 0.000 3.952
Ge 0.000 0.000 6.486
```

Results
The calculation puts the energy relative to the elements at -0.52 eV per atom. As for the magnetic moment: 2.6 μB per formula unit. The calculation puts the calculated volume at 82 Å³ per cell. Its crystal system is tetragonal.

***

No. 7
Computed, not measured: a geometry-optimized La6DyCd5 structure at the GGA-PBE level of DFT.

extended XYZ file:
```
12
Lattice="5.579 0.000 0.000 0.000 7.866 0.000 -2.792 0.000 8.481" Properties=species:S:1:pos:R:3 pbc="T T T"
La 0.000 1.834 0.000
La 0.000 6.032 0.000
La 0.006 1.969 5.569
La 0.006 5.896 5.569
La 2.782 1.969 2.912
La 2.782 5.896 2.912
Dy 2.790 3.933 0.000
Cd -0.010 3.933 2.624
Cd -0.013 0.000 2.829
Cd 2.790 0.000 0.000
Cd 2.801 0.000 5.652
Cd 2.798 3.933 5.857
```

Results
The calculation puts the energy relative to the elements at -0.24 eV per atom. As for the magnetic moment: 0.0 μB per formula unit. The calculation puts the calculated volume at 372 Å³ per cell. Its crystal system is monoclinic.

***

No. 8
Computed, not measured: a geometry-optimized Ba8MgCd2 structure at the GGA-PBE level of DFT.

extended XYZ file:
```
11
Lattice="-3.055 5.210 8.320 3.055 -5.210 8.320 3.055 5.210 -8.320" Properties=species:S:1:pos:R:3 pbc="T T T"
Ba 3.055 2.974 -2.655
Ba 0.000 0.000 2.227
Ba 0.000 3.410 0.000
Ba 3.055 2.974 2.655
Ba 0.000 2.236 5.665
Ba 0.000 7.010 0.000
Ba 0.000 0.000 14.413
Ba 0.000 2.236 10.975
Mg 3.055 0.000 0.000
Cd 3.055 0.000 5.025
Cd 0.000 5.210 3.295
```

Results
The calculation puts the energy relative to the elements at -0.05 eV per atom. As for the magnetic moment: 0.0 μB per formula unit. The calculation puts the calculated volume at 530 Å³ per cell. Its crystal system is orthorhombic.